Entry 1:
Computed, not measured: NiRuF2 after structural relaxation at the GGA-PBEsol level of DFT.

abc: 2.5991 2.5991 7.4462
angles: 79.95 79.95 60.00
Last column: nearest neighbours and their distance in Å.
Atoms (fractional coordinates):
1 Ru 0.0000 0.0000 0.0000  2 F 1.99
2 F 0.9088 0.9088 0.2735  1 Ru 1.99, 3 Ni 2.23
3 F 0.0912 0.0912 0.7265  1 Ru 1.99, 3 Ni 2.23
4 Ni 0.5000 0.5000 0.5000  6 F 2.23

**Theoretical density**: 7.70 g cm⁻³
**DOS at the Fermi energy**: 5.160 states/eV/f.u.
**Crystal system**: trigonal
**Calculated total energy**: -0.206 Ha/atom
**Formation energy (no corrections)**: -563 meV per atom
**Calculated volume**: 42.7 Å³/f.u.

=====

Entry 2:
Computed, not measured: NiRu3F after structural relaxation at the GGA-PBEsol level of DFT.

abc: 4.0316 4.0316 4.0316
angles: 90.00 90.00 90.00
Last column: nearest neighbours and their distance in Å.
Atoms (fractional coordinates):
1 F 0.0000 0.0000 0.0000  6 Ru 2.02
2 Ni 0.5000 0.5000 0.5000  12 Ru 2.85
3 Ru 0.0000 0.0000 0.5000  2 F 2.02
4 Ru 0.0000 0.5000 0.0000  2 F 2.02
5 Ru 0.5000 0.0000 0.0000  2 F 2.02

**Theoretical density**: 9.65 g cm⁻³
**DOS at the Fermi energy**: 9.062 states/eV/f.u.
**Crystal system**: cubic
**Calculated total energy**: -0.240 Ha/atom
**Formation energy (no corrections)**: 1195 meV per atom
**Calculated volume**: 65.5 Å³/f.u.

=====

Entry 3:
Computed, not measured: NiSF2 after structural relaxation at the GGA-PBEsol level of DFT.

abc: 5.3901 5.3901 5.3901
angles: 131.83 99.59 99.59
Last column: nearest neighbours and their distance in Å.
Atoms (fractional coordinates):
1 F 0.3642 0.3750 0.2392  2 Ni 1.99
2 F 0.8642 0.9892 0.6250  2 Ni 1.99
3 F 0.1358 0.7608 0.1250  2 Ni 1.99
4 F 0.6358 0.8750 0.0108  2 Ni 1.99
5 S 0.0000 0.5000 0.5000  2 Ni 2.20
6 S 0.5000 0.2500 0.7500  2 Ni 2.20
7 Ni 0.0000 0.0000 0.0000  4 F 1.99, 2 S 2.20
8 Ni 0.5000 0.7500 0.2500  4 F 1.99, 2 S 2.20

**Theoretical density**: 4.01 g cm⁻³
**DOS at the Fermi energy**: 3.060 states/eV/f.u.
**Crystal system**: tetragonal
**Calculated total energy**: -0.153 Ha/atom
**Energy above the most stable polymorph in this dataset**: 0.78 eV per formula unit
**Formation energy (no corrections)**: -575 meV per atom
**Calculated volume**: 53.3 Å³/f.u.

=====

- The highest formation energy (no corrections) belongs to which entry?
  NiRu3F

=====

- Look up the calculated volume of the first one.
  42.7 Å³/f.u.